DFT (PBE-GGA) results for a relaxed structure of LiPa3Ni8.

Lattice parameters (Å, degrees): 4.9429 4.9429 24.5606 90.00 90.00 120.00
Space group R3m (No. 160, hexagonal axes)
Asymmetric unit:
Li  0.0000  0.0000  0.0000 x3
Pa  0.0000  0.0000  0.3658 x3
Pa  0.0000  0.0000  0.4950 x3
Pa  0.0000  0.0000  0.8783 x3
Ni  0.0000  0.0000  0.1843 x3
Ni  0.0000  0.0000  0.6842 x3
Ni  0.1676  0.3352  0.2692 x9
Ni  0.1680  0.3359  0.7662 x9

Summary:
The value obtained for the total magnetization is 0.00 μB per cell. Its formation energy is -0.38 eV/atom. Its total energy is -6.77 eV per atom.